1.
The following is a DFT calculation (GGA-PBE) of crystalline LiHoSi at its relaxed geometry.

Cell: 4.2406 7.0029 11.9326 Å, 89.79 90.00 90.00°
Fractional coordinates of all 18 atoms:
Li  0.7500  0.6528  0.7969
Li  0.7500  0.1527  0.5415
Li  0.2500  0.8473  0.4585
Li  0.7500  0.9983  0.9108
Li  0.2500  0.0017  0.0892
Li  0.2500  0.3472  0.2031
Si  0.2500  0.7320  0.2481
Si  0.7500  0.2680  0.7519
Si  0.2500  0.7573  0.9062
Si  0.7500  0.7648  0.5720
Si  0.7500  0.2427  0.0938
Si  0.2500  0.2352  0.4280
Ho  0.2500  0.9861  0.6963
Ho  0.7500  0.6635  0.0793
Ho  0.7500  0.5139  0.3695
Ho  0.2500  0.4861  0.6305
Ho  0.7500  0.0139  0.3037
Ho  0.2500  0.3365  0.9207

Summary:
Space-group type: P2_1/m
E_tot (Ry per atom): -0.33470
Uncorrected formation energy (eV per atom): -0.58
Crystal system: monoclinic

***

2.
The following is a DFT calculation (GGA-PBE) of crystalline Li2HoSi2 at its relaxed geometry.

Cell: 3.9695 3.9695 6.3035 Å, 108.35 108.35 90.00°
Fractional coordinates of all 5 atoms:
Si  0.3970  0.3970  0.7941
Si  0.6030  0.6030  0.2059
Ho  0.0000  0.0000  0.0000
Li  0.7500  0.2500  0.5000
Li  0.2500  0.7500  0.5000

Summary:
Space-group type: I4/mmm
E_tot (Ry per atom): -0.31740
Uncorrected formation energy (eV per atom): -0.47
Crystal system: tetragonal

***

3.
The following is a DFT calculation (GGA-PBE) of crystalline Li2Ho2Si3 at its relaxed geometry.

Cell: 4.2379 6.6763 9.2227 Å, 90.00 103.28 90.00°
Fractional coordinates of all 14 atoms:
Li  0.3099  0.0605  0.6197
Li  0.6901  0.5605  0.3803
Li  0.6901  0.9395  0.3803
Li  0.3099  0.4395  0.6197
Ho  0.9476  0.2500  0.8952
Ho  0.1564  0.2500  0.3129
Ho  0.0524  0.7500  0.1048
Ho  0.8436  0.7500  0.6871
Si  0.4402  0.9284  0.8805
Si  0.2208  0.7500  0.4416
Si  0.5598  0.4284  0.1195
Si  0.7792  0.2500  0.5584
Si  0.5598  0.0716  0.1195
Si  0.4402  0.5716  0.8805

Summary:
Space-group type: Cmcm
E_tot (Ry per atom): -0.35104
Uncorrected formation energy (eV per atom): -0.60
Crystal system: orthorhombic

***

4.
The following is a DFT calculation (GGA-PBE) of crystalline LiHoSi at its relaxed geometry.

Cell: 4.6247 4.6247 4.6247 Å, 60.00 60.00 60.00°
Fractional coordinates of all 3 atoms:
Si  0.2500  0.2500  0.2500
Li  0.0000  0.0000  0.0000
Ho  0.5000  0.5000  0.5000

Summary:
Space-group type: F-43m
E_tot (Ry per atom): -0.32281
Uncorrected formation energy (eV per atom): -0.42
Crystal system: cubic

***

5.
The following is a DFT calculation (GGA-PBE) of crystalline LiHoSi at its relaxed geometry.

Cell: 4.0782 4.0782 9.0073 Å, 77.02 77.02 60.77°
Fractional coordinates of all 6 atoms:
Si  0.5453  0.5453  0.8592
Si  0.4547  0.4547  0.1408
Li  0.1524  0.1524  0.0430
Li  0.8476  0.8476  0.9570
Ho  0.7258  0.7258  0.3342
Ho  0.2742  0.2742  0.6658

Summary:
Space-group type: C2/m
E_tot (Ry per atom): -0.31195
Uncorrected formation energy (eV per atom): -0.27
Crystal system: monoclinic

***

6.
The following is a DFT calculation (GGA-PBE) of crystalline Li4Ho3Si4 at its relaxed geometry.

Cell: 4.2730 6.5746 8.0820 Å, 114.00 105.33 90.00°
Fractional coordinates of all 11 atoms:
Li  0.6717  0.4807  0.3435
Li  0.3283  0.1372  0.6565
Li  0.6717  0.8628  0.3435
Li  0.3283  0.5193  0.6565
Si  0.7867  0.2867  0.5734
Si  0.5000  0.1820  0.0000
Si  0.2133  0.7133  0.4266
Si  0.5000  0.8180  0.0000
Ho  0.1287  0.1287  0.2573
Ho  0.8713  0.8713  0.7427
Ho  0.0000  0.5000  0.0000

Summary:
Space-group type: Immm
E_tot (Ry per atom): -0.32807
Uncorrected formation energy (eV per atom): -0.55
Crystal system: orthorhombic

***

7.
The following is a DFT calculation (GGA-PBE) of crystalline Li2Ho3Si4 at its relaxed geometry.

Cell: 4.1529 5.6562 8.1420 Å, 106.21 90.00 111.54°
Fractional coordinates of all 9 atoms:
Li  0.3382  0.6764  0.6695
Li  0.6618  0.3236  0.3305
Si  0.0690  0.1379  0.4014
Si  0.9310  0.8621  0.5986
Si  0.7159  0.4318  0.0566
Si  0.2841  0.5682  0.9434
Ho  0.6420  0.2839  0.6829
Ho  0.3580  0.7161  0.3171
Ho  0.0000  0.0000  0.0000

Summary:
Space-group type: C2/m
E_tot (Ry per atom): -0.36474
Uncorrected formation energy (eV per atom): -0.60
Crystal system: monoclinic

***

8.
The following is a DFT calculation (GGA-PBE) of crystalline Li2HoSi at its relaxed geometry.

Cell: 4.5149 4.5149 4.5149 Å, 60.00 60.00 60.00°
Fractional coordinates of all 4 atoms:
Li  0.2500  0.2500  0.2500
Li  0.7500  0.7500  0.7500
Ho  0.0000  0.0000  0.0000
Si  0.5000  0.5000  0.5000

Summary:
Space-group type: Fm-3m
E_tot (Ry per atom): -0.27311
Uncorrected formation energy (eV per atom): -0.26
Crystal system: cubic